[1]
The following is a DFT calculation (PBEsol) of an optimized crystal structure of LiSnP4O12.

**Final energy**: -0.264 Ha/atom
**Distance to the lowest polymorph of the same formula**: 24 meV per atom
**Fermi-level density of states**: 0.164 states/eV per atom
**Size of the total moment**: 0.05 μB per atom

a b c (Å): 12.1761 8.5594 9.9720
angles (deg): 90.00 119.52 90.00
Space group C2/c (No. 15)
One atom of each set of equivalent atoms:
Li  0.2500  0.2500  0.0000 (multiplicity 4)
Sn  0.0000  0.0500  0.7500 (multiplicity 4)
P  0.0035  0.2749  0.4717 (multiplicity 8)
P  0.1964  0.4966  0.6987 (multiplicity 8)
O  0.0476  0.1342  0.4222 (multiplicity 8)
O  0.0489  0.2495  0.9201 (multiplicity 8)
O  0.0965  0.3672  0.1783 (multiplicity 8)
O  0.1187  0.3946  0.5438 (multiplicity 8)
O  0.2031  0.0766  0.8254 (multiplicity 8)
O  0.2316  0.4085  0.8404 (multiplicity 8)

---

[2]
The following is a DFT calculation (PBEsol) of an optimized crystal structure of LiSnP4O12.

**Final energy**: -0.263 Ha/atom
**Distance to the lowest polymorph of the same formula**: 49 meV per atom
**Fermi-level density of states**: 0.129 states/eV per atom
**Size of the total moment**: 0.00 μB per atom

a b c (Å): 10.0187 11.6440 17.3981
angles (deg): 90.00 90.00 90.00
Space group C222_1 (No. 20)
One atom of each set of equivalent atoms:
Li  0.1479  0.0447  0.3555 (multiplicity 8)
Sn  0.2212  0.2061  0.6340 (multiplicity 8)
P  0.0000  0.3487  0.2500 (multiplicity 4)
P  0.0441  0.2627  0.9874 (multiplicity 8)
P  0.1068  0.1436  0.8423 (multiplicity 8)
P  0.1511  0.5000  0.0000 (multiplicity 4)
P  0.1895  0.4799  0.6915 (multiplicity 8)
O  0.0301  0.0890  0.6487 (multiplicity 8)
O  0.0464  0.4004  0.9836 (multiplicity 8)
O  0.0635  0.4338  0.3120 (multiplicity 8)
O  0.0981  0.2240  0.5215 (multiplicity 8)
O  0.1014  0.2765  0.2087 (multiplicity 8)
O  0.1182  0.2228  0.0576 (multiplicity 8)
O  0.1296  0.2318  0.9124 (multiplicity 8)
O  0.1427  0.3745  0.6490 (multiplicity 8)
O  0.1482  0.2039  0.7714 (multiplicity 8)
O  0.2092  0.0428  0.8661 (multiplicity 8)
O  0.2303  0.4744  0.0716 (multiplicity 8)
O  0.2446  0.4708  0.7703 (multiplicity 8)

---

[3]
The following is a DFT calculation (PBEsol) of an optimized crystal structure of LiSnPO4.

**Final energy**: -0.247 Ha/atom
**Fermi-level density of states**: 0.000 states/eV per atom
**Size of the total moment**: 0.00 μB per atom

a b c (Å): 14.4566 14.4566 9.4055
angles (deg): 90.00 90.00 120.00
Space group R3 (No. 146, hexagonal axes)
One atom of each set of equivalent atoms:
Li  0.0239  0.2179  0.0000 (multiplicity 9)
Li  0.1342  0.6710  0.1683 (multiplicity 9)
Sn  0.0307  0.2192  0.6699 (multiplicity 9)
Sn  0.1413  0.6751  0.8213 (multiplicity 9)
P  0.1352  0.4547  0.9971 (multiplicity 9)
P  0.1422  0.7019  0.5038 (multiplicity 9)
O  0.0017  0.1528  0.1883 (multiplicity 9)
O  0.0234  0.3554  0.9656 (multiplicity 9)
O  0.0296  0.6848  0.4739 (multiplicity 9)
O  0.0615  0.8622  0.9206 (multiplicity 9)
O  0.0695  0.2064  0.4426 (multiplicity 9)
O  0.1844  0.1318  0.6930 (multiplicity 9)
O  0.2012  0.4058  0.6071 (multiplicity 9)
O  0.2062  0.7926  0.0538 (multiplicity 9)

---

[4]
The following is a DFT calculation (PBEsol) of an optimized crystal structure of LiSnP4O12.

**Final energy**: -0.265 Ha/atom
**Distance to the lowest polymorph of the same formula**: 0 meV per atom
**Fermi-level density of states**: 0.000 states/eV per atom
**Size of the total moment**: 0.00 μB per atom

a b c (Å): 7.3899 7.6157 10.0108
angles (deg): 96.17 107.93 110.83
Space group P-1 (No. 2)
One atom of each set of equivalent atoms:
Li  0.2388  0.0279  0.2798 (multiplicity 2)
Sn  0.0000  0.0000  0.5000 (multiplicity 1)
Sn  0.0000  0.5000  0.0000 (multiplicity 1)
P  0.0011  0.3359  0.3073 (multiplicity 2)
P  0.2712  0.7197  0.5065 (multiplicity 2)
P  0.2983  0.2610  0.0354 (multiplicity 2)
P  0.4968  0.3186  0.8160 (multiplicity 2)
O  0.0308  0.1510  0.3026 (multiplicity 2)
O  0.0700  0.6170  0.8382 (multiplicity 2)
O  0.1173  0.3068  0.9480 (multiplicity 2)
O  0.1516  0.8095  0.4067 (multiplicity 2)
O  0.1668  0.6608  0.6267 (multiplicity 2)
O  0.2150  0.5049  0.4162 (multiplicity 2)
O  0.2564  0.1026  0.1081 (multiplicity 2)
O  0.2872  0.6836  0.1476 (multiplicity 2)
O  0.3481  0.2207  0.6664 (multiplicity 2)
O  0.4099  0.2213  0.9298 (multiplicity 2)
O  0.4772  0.4621  0.1465 (multiplicity 2)
O  0.4980  0.8159  0.5834 (multiplicity 2)

---

Let's list ρ in order: 3.2; 2.9; 3.9; 3.0 Mg/m³.